Record 1
Here is an optimized crystal structure of ZrTaSi2 from the Alexandria database. Energies are from PBE.

Cell and atoms, written as CIF:
```
data_ZrTaSi2
_chemical_formula_sum 'Zr2 Ta2 Si4'
_space_group_name_H-M_alt 'C m m m'
_space_group_IT_number 65
_space_group_name_Hall '-C 2 2'
_cell_length_a 3.724
_cell_length_b 4.745
_cell_length_c 7.667
_cell_angle_alpha 90.00
_cell_angle_beta 90.00
_cell_angle_gamma 90.00
loop_
_atom_site_label
_atom_site_fract_x
_atom_site_fract_y
_atom_site_fract_z
_atom_site_occupancy
Zr1 0.000 0.000 0.000 1
Ta1 0.000 0.000 0.500 1
Si1 0.000 0.500 0.259 1
```

Values from the calculation:
- Formation energy (no corrections): -0.37 eV per atom
- Energy above the most stable polymorph in this dataset: 280 meV per atom

Record 2
Here is an optimized crystal structure of Li4In2Bi from the Alexandria database. Energies are from PBE.

Cell and atoms, written as CIF:
```
data_Li4In2Bi
_chemical_formula_sum 'Li8 In4 Bi2'
_space_group_name_H-M_alt 'I 4/m m m'
_space_group_IT_number 139
_space_group_name_Hall '-I 4 2'
_cell_length_a 5.247
_cell_length_b 5.247
_cell_length_c 14.292
_cell_angle_alpha 90.00
_cell_angle_beta 90.00
_cell_angle_gamma 90.00
loop_
_atom_site_label
_atom_site_fract_x
_atom_site_fract_y
_atom_site_fract_z
_atom_site_occupancy
Li1 0.000 0.000 0.195 1
Li2 0.000 0.500 0.000 1
In1 0.000 0.000 0.392 1
Bi1 0.000 0.000 0.000 1
```

Values from the calculation:
- Energy of formation from the pure elements: -56 meV per atom

Record 3
Here is an optimized crystal structure of Na12Cd7Ga from the Alexandria database. Energies are from PBE.

Cell and atoms, written as CIF:
```
data_Na12Cd7Ga
_chemical_formula_sum 'Na36 Cd21 Ga3'
_space_group_name_H-M_alt 'R -3'
_space_group_IT_number 148
_space_group_name_Hall '-R 3'
_cell_length_a 13.2099
_cell_length_b 13.2099
_cell_length_c 10.8543
_cell_angle_alpha 90.00
_cell_angle_beta 90.00
_cell_angle_gamma 120.00
loop_
_atom_site_label
_atom_site_fract_x
_atom_site_fract_y
_atom_site_fract_z
_atom_site_occupancy
Na1 0.0006 0.7340 0.0009 1
Na2 0.0806 0.9161 0.7440 1
Cd1 0.0000 0.0000 0.0000 1
Cd2 0.0699 0.5356 0.1162 1
Ga1 0.0000 0.0000 0.5000 1
```

Values from the calculation:
- Energy of formation from the pure elements: -58 meV per atom

Record 4
Here is an optimized crystal structure of VCS3 from the Alexandria database. Energies are from PBE.

Cell and atoms, written as CIF:
```
data_VCS3
_chemical_formula_sum 'V1 C1 S3'
_space_group_name_H-M_alt 'P m -3 m'
_space_group_IT_number 221
_space_group_name_Hall '-P 4 2 3'
_cell_length_a 4.540
_cell_length_b 4.540
_cell_length_c 4.540
_cell_angle_alpha 90.00
_cell_angle_beta 90.00
_cell_angle_gamma 90.00
loop_
_atom_site_label
_atom_site_fract_x
_atom_site_fract_y
_atom_site_fract_z
_atom_site_occupancy
V1 0.000 0.000 0.000 1
C1 0.500 0.500 0.500 1
S1 0.000 0.000 0.500 1
```

Values from the calculation:
- Formation energy (no corrections): 1.25 eV per atom
- Energy above the most stable polymorph in this dataset: 277 meV per atom

Record 5
Here is an optimized crystal structure of CeSm2Ge4Pt3 from the Alexandria database. Energies are from PBE.

Cell and atoms, written as CIF:
```
data_CeSm2Ge4Pt3
_chemical_formula_sum 'Ce1 Sm2 Ge4 Pt3'
_space_group_name_H-M_alt 'P -4 m 2'
_space_group_IT_number 115
_cell_length_a 4.290
_cell_length_b 4.290
_cell_length_c 11.593
_cell_angle_alpha 90.00
_cell_angle_beta 90.00
_cell_angle_gamma 90.00
loop_
_space_group_symop_operation_xyz
'x,y,z'
'y,-x,-z'
'-x,-y,z'
'-y,x,-z'
'-x,y,z'
'-y,-x,-z'
'x,-y,z'
'y,x,-z'
loop_
_atom_site_label
_atom_site_fract_x
_atom_site_fract_y
_atom_site_fract_z
_atom_site_occupancy
Ce1 0.000 0.000 0.000 1
Sm1 0.000 0.500 0.724 1
Ge1 0.000 0.000 0.500 1
Ge2 0.000 0.500 0.170 1
Ge3 0.500 0.500 0.500 1
Pt1 0.000 0.500 0.383 1
Pt2 0.500 0.500 0.000 1
```

Values from the calculation:
- Energy of formation from the pure elements: -820 meV per atom

Record 6
Here is an optimized crystal structure of Na3In4Ag2 from the Alexandria database. Energies are from PBE.

Cell and atoms, written as CIF:
```
data_Na3In4Ag2
_chemical_formula_sum 'Na12 In16 Ag8'
_space_group_name_H-M_alt 'C 1 2/c 1'
_space_group_IT_number 15
_cell_length_a 15.187
_cell_length_b 8.784
_cell_length_c 6.560
_cell_angle_alpha 90.00
_cell_angle_beta 90.02
_cell_angle_gamma 90.00
loop_
_space_group_symop_operation_xyz
'x,y,z'
'-x,-y,-z'
'-x,y,-z+1/2'
'x,-y,z+1/2'
'x+1/2,y+1/2,z'
'-x+1/2,-y+1/2,-z'
'-x+1/2,y+1/2,-z+1/2'
'x+1/2,-y+1/2,z+1/2'
loop_
_atom_site_label
_atom_site_fract_x
_atom_site_fract_y
_atom_site_fract_z
_atom_site_occupancy
Na1 0.000 0.000 0.250 1
Na2 0.171 0.500 0.250 1
In1 0.007 0.331 0.000 1
In2 0.165 0.159 0.499 1
Ag1 0.168 0.167 0.000 1
```

Values from the calculation:
- Energy of formation from the pure elements: -102 meV per atom
- Energy above the most stable polymorph in this dataset: 7 meV per atom

Record 7
Here is an optimized crystal structure of RbTlZnHg2 from the Alexandria database. Energies are from PBE.

Cell and atoms, written as CIF:
```
data_RbTlZnHg2
_chemical_formula_sum 'Rb1 Tl1 Zn1 Hg2'
_space_group_name_H-M_alt 'P 4/m m m'
_space_group_IT_number 123
_space_group_name_Hall '-P 4 2'
_cell_length_a 5.504
_cell_length_b 5.504
_cell_length_c 5.420
_cell_angle_alpha 90.00
_cell_angle_beta 90.00
_cell_angle_gamma 90.00
loop_
_atom_site_label
_atom_site_fract_x
_atom_site_fract_y
_atom_site_fract_z
_atom_site_occupancy
Rb1 0.000 0.000 0.000 1
Tl1 0.500 0.500 0.000 1
Zn1 0.500 0.500 0.500 1
Hg1 0.000 0.500 0.500 1
```

Values from the calculation:
- Energy of formation from the pure elements: -44 meV per atom

Record 8
Here is an optimized crystal structure of LaTh2UP4 from the Alexandria database. Energies are from PBE.

Cell and atoms, written as CIF:
```
data_LaTh2UP4
_chemical_formula_sum 'La2 Th4 U2 P8'
_space_group_name_H-M_alt 'I -4 m 2'
_space_group_IT_number 119
_space_group_name_Hall 'I -4 -2'
_cell_length_a 5.833
_cell_length_b 5.833
_cell_length_c 11.664
_cell_angle_alpha 90.00
_cell_angle_beta 90.00
_cell_angle_gamma 90.00
loop_
_atom_site_label
_atom_site_fract_x
_atom_site_fract_y
_atom_site_fract_z
_atom_site_occupancy
La1 0.000 0.000 0.000 1
Th1 0.000 0.000 0.500 1
Th2 0.000 0.500 0.250 1
U1 0.000 0.500 0.750 1
P1 0.000 0.000 0.252 1
P2 0.000 0.500 0.507 1
```

Values from the calculation:
- Energy of formation from the pure elements: -1383 meV per atom

Record 9
Here is an optimized crystal structure of Ba8Pt2RhAu from the Alexandria database. Energies are from PBE.

Cell and atoms, written as CIF:
```
data_Ba8Pt2RhAu
_chemical_formula_sum 'Ba8 Pt2 Rh1 Au1'
_space_group_name_H-M_alt 'P 1 2/m 1'
_space_group_IT_number 10
_cell_length_a 7.502
_cell_length_b 9.409
_cell_length_c 7.659
_cell_angle_alpha 90.00
_cell_angle_beta 90.36
_cell_angle_gamma 90.00
loop_
_space_group_symop_operation_xyz
'x,y,z'
'-x,-y,-z'
'-x,y,-z'
'x,-y,z'
loop_
_atom_site_label
_atom_site_fract_x
_atom_site_fract_y
_atom_site_fract_z
_atom_site_occupancy
Ba1 0.215 0.000 0.333 1
Ba2 0.231 0.500 0.319 1
Ba3 0.273 0.263 0.821 1
Pt1 0.000 0.254 0.500 1
Rh1 0.500 0.500 0.000 1
Au1 0.500 0.000 0.000 1
```

Values from the calculation:
- Energy of formation from the pure elements: -503 meV per atom

Record 10
Here is an optimized crystal structure of Sr2Ni from the Alexandria database. Energies are from PBE.

Cell and atoms, written as CIF:
```
data_Sr2Ni
_chemical_formula_sum 'Sr8 Ni4'
_space_group_name_H-M_alt 'C m c 21'
_space_group_IT_number 36
_cell_length_a 4.050
_cell_length_b 13.641
_cell_length_c 7.317
_cell_angle_alpha 90.00
_cell_angle_beta 90.00
_cell_angle_gamma 90.00
loop_
_space_group_symop_operation_xyz
'x,y,z'
'-x,-y,z+1/2'
'-x,y,z'
'x,-y,z+1/2'
'x+1/2,y+1/2,z'
'-x+1/2,-y+1/2,z+1/2'
'-x+1/2,y+1/2,z'
'x+1/2,-y+1/2,z+1/2'
loop_
_atom_site_label
_atom_site_fract_x
_atom_site_fract_y
_atom_site_fract_z
_atom_site_occupancy
Sr1 0.000 0.007 0.000 1
Sr2 0.000 0.270 0.808 1
Ni1 0.000 0.386 0.221 1
```

Values from the calculation:
- Energy of formation from the pure elements: 69 meV per atom

Number 1: E -8.185 eV/atom. Number 2: E -2.487 eV/atom. Number 3: E -1.322 eV/atom. Number 4: E -4.893 eV/atom. Number 5: E -6.017 eV/atom. Number 6: E -2.393 eV/atom. Number 7: E -1.087 eV/atom. Number 8: E -7.970 eV/atom. Number 9: E -3.677 eV/atom. Number 10: E -2.979 eV/atom.